*i*
# CrB4 meta-GGA SCAN PBEsol geometry
data_CrB4
_cell_length_a 2.828
_cell_length_b 4.705
_cell_length_c 5.463
_cell_angle_alpha 90.00
_cell_angle_beta 90.00
_cell_angle_gamma 90.00
_symmetry_space_group_name_H-M 'I m m m'
_symmetry_Int_Tables_number 71
_symmetry_space_group_name_Hall '-I 2 2'
loop_
_atom_site_label
_atom_site_fract_x
_atom_site_fract_y
_atom_site_fract_z
Cr1 0.000 0.000 0.000
B1 0.000 0.196 0.342
# V	72.7	Å³/cell
# ρ	4.4	Mg/m³



*ii*
# CrB4 meta-GGA SCAN PBEsol geometry
data_CrB4
_cell_length_a 4.678
_cell_length_b 5.448
_cell_length_c 2.826
_cell_angle_alpha 90.00
_cell_angle_beta 90.00
_cell_angle_gamma 90.00
_symmetry_space_group_name_H-M 'P n n m'
_symmetry_Int_Tables_number 58
loop_
_symmetry_equiv_pos_as_xyz
'x,y,z'
'-x,-y,-z'
'-x,-y,z'
'x,y,-z'
'x+1/2,-y+1/2,-z+1/2'
'-x+1/2,y+1/2,z+1/2'
'-x+1/2,y+1/2,-z+1/2'
'x+1/2,-y+1/2,z+1/2'
loop_
_atom_site_label
_atom_site_fract_x
_atom_site_fract_y
_atom_site_fract_z
Cr1 0.000 0.000 0.000
B1 0.163 0.368 0.000
B2 0.226 0.680 0.000
# V	72.0	Å³/cell
# ρ	4.4	Mg/m³



Energies relative to the most stable structure are *i* 8; *ii* 0, reported in meV/atom.



*i*
# KMgCr2B meta-GGA SCAN PBEsol geometry
data_KMgCr2B
_cell_length_a 5.088
_cell_length_b 5.088
_cell_length_c 5.875
_cell_angle_alpha 90.00
_cell_angle_beta 90.00
_cell_angle_gamma 90.00
_symmetry_space_group_name_H-M 'P 4/m m m'
_symmetry_Int_Tables_number 123
_symmetry_space_group_name_Hall '-P 4 2'
loop_
_atom_site_label
_atom_site_fract_x
_atom_site_fract_y
_atom_site_fract_z
K1 0.000 0.000 0.000
Mg1 0.000 0.000 0.500
Cr1 0.000 0.500 0.500
B1 0.500 0.500 0.000
# V	152.1	Å³/cell
# ρ	1.9	Mg/m³



*ii*
# KMgCr2B meta-GGA SCAN PBEsol geometry
data_KMgCr2B
_cell_length_a 5.264
_cell_length_b 5.264
_cell_length_c 4.397
_cell_angle_alpha 90.00
_cell_angle_beta 90.00
_cell_angle_gamma 90.00
_symmetry_space_group_name_H-M 'P 4/m m m'
_symmetry_Int_Tables_number 123
_symmetry_space_group_name_Hall '-P 4 2'
loop_
_atom_site_label
_atom_site_fract_x
_atom_site_fract_y
_atom_site_fract_z
K1 0.000 0.000 0.000
Mg1 0.500 0.500 0.500
Cr1 0.000 0.500 0.500
B1 0.500 0.500 0.000
# V	121.8	Å³/cell
# ρ	2.4	Mg/m³



Energies relative to the most stable structure are *i* 639; *ii* 0, reported in meV/atom.